Compound: Er8Si3HSe4
Source: the Alexandria database
Functional: GGA-PBE
Structure: relaxed

```
data_Er8Si3HSe4
_cell_length_a 8.0221
_cell_length_b 8.0221
_cell_length_c 19.9306
_cell_angle_alpha 90.00
_cell_angle_beta 90.00
_cell_angle_gamma 120.00
_space_group_name_H-M_alt 'R -3 m'
_space_group_IT_number 166
_space_group_name_Hall '-R 3 2"'
loop_
_atom_site_label
_atom_site_type_symbol
_atom_site_fract_x
_atom_site_fract_y
_atom_site_fract_z
Er1 Er 0.0000 0.0000 0.2454
Er2 Er 0.0055 0.5028 0.7543
Si1 Si 0.0000 0.5000 0.5000
H1 H 0.0000 0.0000 0.5000
Se1 Se 0.0000 0.0000 0.0000
Se2 Se 0.0000 0.5000 0.0000
```

Properties
Calculated volume   1110.8 Å³/cell
Density   7.800 g/cm3
Energy   -5.575 eV/atom